[1]
The following is a PBE-GGA calculation of crystalline Tl6Cd2Hg at its relaxed geometry, from the Alexandria database.

Summary:
* excess energy over the best structure of this formula in the dataset: 14 meV per atom
* energy of formation: 33 kJ/mol of formula units

a b c (Å): 3.4142 3.4142 25.9058
angles (deg): 90.00 90.00 120.00
Space group P-6m2 (No. 187)
Unique sites:
Tl1 0.0000 0.0000 0.0639 (multiplicity 2)
Tl2 0.0000 0.0000 0.2755 (multiplicity 2)
Tl3 0.3333 0.6667 0.3912 (multiplicity 2)
Cd1 0.3333 0.6667 0.1700 (multiplicity 2)
Hg1 0.0000 0.0000 0.5000 (multiplicity 1)

***

[2]
The following is a PBE-GGA calculation of crystalline Tl3Cd2Hg at its relaxed geometry, from the Alexandria database.

Summary:
* excess energy over the best structure of this formula in the dataset: 0 meV per atom
* energy of formation: 10 kJ/mol of formula units

a b c (Å): 18.650 3.446 11.474
angles (deg): 90.00 116.42 90.00
Space group C2/m (No. 12)
Unique sites:
Tl1 0.070 0.000 0.429 (multiplicity 4)
Tl2 0.110 0.500 0.742 (multiplicity 4)
Tl3 0.250 0.000 0.367 (multiplicity 4)
Cd1 0.065 0.000 0.942 (multiplicity 4)
Cd2 0.220 0.500 0.084 (multiplicity 4)
Hg1 0.088 0.500 0.191 (multiplicity 4)

***

[3]
The following is a PBE-GGA calculation of crystalline Tl8Cd3Hg2 at its relaxed geometry, from the Alexandria database.

Summary:
* energy of formation: 76 kJ/mol of formula units

a b c (Å): 9.167 5.124 9.270
angles (deg): 90.00 111.24 90.00
Space group P2/m (No. 10)
Unique sites:
Tl1 0.111 0.000 0.379 (multiplicity 2)
Tl2 0.117 0.500 0.885 (multiplicity 2)
Tl3 0.362 0.500 0.634 (multiplicity 2)
Tl4 0.365 0.000 0.122 (multiplicity 2)
Cd1 0.259 0.500 0.262 (multiplicity 2)
Cd2 0.500 0.000 0.500 (multiplicity 1)
Hg1 0.256 0.000 0.764 (multiplicity 2)

***

[4]
The following is a PBE-GGA calculation of crystalline TlCd3Hg8 at its relaxed geometry, from the Alexandria database.

Summary:
* energy of formation: 29 kJ/mol of formula units

a b c (Å): 5.8580 5.8580 10.7187
angles (deg): 90.00 90.00 120.00
Space group P-31m (No. 162)
Unique sites:
Tl1 0.0000 0.0000 0.0000 (multiplicity 1)
Cd1 0.0000 0.0000 0.5000 (multiplicity 1)
Cd2 0.3333 0.6667 0.5000 (multiplicity 2)
Hg1 0.0000 0.3363 0.7454 (multiplicity 6)
Hg2 0.3333 0.6667 0.0000 (multiplicity 2)

***

[5]
The following is a PBE-GGA calculation of crystalline TlCd6Hg2 at its relaxed geometry, from the Alexandria database.

Summary:
* excess energy over the best structure of this formula in the dataset: 2 meV per atom
* energy of formation: 37 kJ/mol of formula units

a b c (Å): 14.436 10.040 3.205
angles (deg): 90.00 100.75 90.00
Space group C2/m (No. 12)
Unique sites:
Tl1 0.000 0.000 0.000 (multiplicity 2)
Cd1 0.000 0.350 0.500 (multiplicity 4)
Cd2 0.159 0.216 0.158 (multiplicity 8)
Hg1 0.194 0.500 0.687 (multiplicity 4)

***

[6]
The following is a PBE-GGA calculation of crystalline TlCd2Hg9 at its relaxed geometry, from the Alexandria database.

Summary:
* excess energy over the best structure of this formula in the dataset: 0 meV per atom
* energy of formation: 9 kJ/mol of formula units

a b c (Å): 4.505 4.525 15.668
angles (deg): 90.00 90.00 90.00
Space group Pmmm (No. 47)
Unique sites:
Tl1 0.000 0.000 0.000 (multiplicity 1)
Cd1 0.000 0.000 0.340 (multiplicity 2)
Hg1 0.000 0.500 0.177 (multiplicity 2)
Hg2 0.000 0.500 0.500 (multiplicity 1)
Hg3 0.500 0.000 0.177 (multiplicity 2)
Hg4 0.500 0.000 0.500 (multiplicity 1)
Hg5 0.500 0.500 0.000 (multiplicity 1)
Hg6 0.500 0.500 0.337 (multiplicity 2)

***

The calculation returns the following volume values, one per record and in order: 261.5; 660.5; 405.9; 318.5; 456.3; 319.4 Å³ per cell.
The calculation returns the following total DFT energy (no corrections) values, one per record and in order: -1.7759; -1.5217; -1.6530; -0.6020; -0.8972; -0.5684 eV per atom.